Below is an optimized crystal structure of Mn7Cl12F, with properties calculated at the GGA+U level.

Output
Volume, Å³ per atom: 23.823
Final energy, eV per formula unit: -101.55

The structure in POSCAR format:
```
Mn7Cl12F
1.0
6.768 3.908 3.002
-6.768 3.908 3.002
0.000 -7.815 3.002
Mn Cl F
7 12 1
direct
0.000 0.000 0.000
0.156 0.386 0.471
0.386 0.471 0.156
0.471 0.156 0.386
0.529 0.844 0.614
0.614 0.529 0.844
0.844 0.614 0.529
0.060 0.344 0.130
0.130 0.060 0.344
0.191 0.712 0.577
0.288 0.423 0.809
0.344 0.130 0.060
0.423 0.809 0.288
0.577 0.191 0.712
0.656 0.870 0.940
0.712 0.577 0.191
0.809 0.288 0.423
0.870 0.940 0.656
0.940 0.656 0.870
0.500 0.500 0.500
```